! NpCoIrO6, relaxed, DFT PBE+U; values from VASP
! - Mass density: 9.68 Mg/m³
! - Total magnetic moment: 0.98 μB/f.u.
! - Calculated total energy: -141.67 eV per cell
&SYSTEM
  ibrav = 0, nat = 18, ntyp = 4
/
ATOMIC_SPECIES
Np 237.00 Np.upf
O 16.00 O.upf
Co 58.93 Co.upf
Ir 192.22 Ir.upf
CELL_PARAMETERS angstrom
5.0877 0.0000 0.0000
-2.5438 4.4061 0.0000
0.0000 0.0000 8.9378
ATOMIC_POSITIONS crystal
Np 0.3333 0.6667 0.7500
O 0.9812 0.6572 0.8736
O 0.3428 0.3240 0.8736
O 0.9812 0.3240 0.6264
Co 0.6667 0.3333 0.7500
Ir 0.0000 0.0000 0.0000
O 0.0188 0.3428 0.1264
O 0.6572 0.6760 0.1264
O 0.6760 0.0188 0.8736
O 0.6572 0.9812 0.3736
Co 0.3333 0.6667 0.2500
O 0.3428 0.0188 0.6264
O 0.6760 0.6572 0.6264
Ir 0.0000 0.0000 0.5000
O 0.3240 0.9812 0.1264
O 0.0188 0.6760 0.3736
O 0.3240 0.3428 0.3736
Np 0.6667 0.3333 0.2500